The following is a GGA-PBE calculation of a relaxed structure of La2PmHoSe6, from the Alexandria database.

Output
magnetization	0.00	μB per atom
E	-5.9226	eV/atom
ΔE_f (raw)	-1.914	eV/atom

a = 7.4850 Å, b = 7.4850 Å, c = 19.6389 Å
α = 90.00°, β = 90.00°, γ = 120.00°
Space group R3 (No. 146, hexagonal axes)
Symmetry-distinct sites (fractional):
La (0.0000, 0.0000, 0.0000) x3
La (0.0000, 0.0000, 0.4982) x3
Pm (0.0000, 0.0000, 0.2048) x3
Ho (0.0000, 0.0000, 0.7025) x3
Se (0.0456, 0.3525, 0.7722) x9
Se (0.0486, 0.6838, 0.2734) x9

---

The following is a GGA-PBE calculation of a relaxed structure of Tb2DyErMg, from the Alexandria database.

Output
formation enthalpy at 0 K	0.02	eV/atom
magnetization	0.00	μB per atom
E	-3.9883	eV/atom

a = 6.095 Å, b = 5.556 Å, c = 9.336 Å
α = 90.00°, β = 108.52°, γ = 90.00°
Space group P2_1/m (No. 11)
Symmetry-distinct sites (fractional):
Tb (0.050, 0.250, 0.299) x2
Tb (0.125, 0.750, 0.104) x2
Dy (0.464, 0.250, 0.108) x2
Er (0.334, 0.750, 0.503) x2
Mg (0.276, 0.250, 0.698) x2

---

The following is a GGA-PBE calculation of a relaxed structure of MgScPt, from the Alexandria database.

Output
formation enthalpy at 0 K	-0.80	eV/atom
magnetization	0.00	μB per atom
E	-5.4543	eV/atom

a = 3.459 Å, b = 3.459 Å, c = 9.464 Å
α = 90.00°, β = 90.00°, γ = 90.00°
Space group I4mm (No. 107)
Symmetry-distinct sites (fractional):
Mg (0.000, 0.000, 0.000) x2
Sc (0.000, 0.000, 0.700) x2
Pt (0.000, 0.000, 0.339) x2

---

The following is a GGA-PBE calculation of a relaxed structure of Dy7Ho12Mg, from the Alexandria database.

Output
formation enthalpy at 0 K	0.84	eV/atom
magnetization	0.00	μB per atom
E	-3.6007	eV/atom

a = 11.947 Å, b = 11.947 Å, c = 11.947 Å
α = 90.00°, β = 90.00°, γ = 90.00°
Space group Im-3 (No. 204)
Symmetry-distinct sites (fractional):
Dy (0.000, 0.000, 0.500) x6
Dy (0.250, 0.250, 0.250) x8
Ho (0.000, 0.262, 0.358) x24
Mg (0.000, 0.000, 0.000) x2

---

The following is a GGA-PBE calculation of a relaxed structure of MnPbBr4, from the Alexandria database.

Output
magnetization	0.83	μB per atom
E	-4.0601	eV/atom
ΔE_f (raw)	-0.799	eV/atom

a = 9.147 Å, b = 14.853 Å, c = 6.812 Å
α = 90.00°, β = 127.61°, γ = 90.00°
Space group C2/c (No. 15)
Symmetry-distinct sites (fractional):
Mn (0.000, 0.074, 0.250) x4
Pb (0.000, 0.353, 0.750) x4
Br (0.147, 0.208, 0.157) x8
Br (0.238, 0.037, 0.733) x8

---

The following is a GGA-PBE calculation of a relaxed structure of NdDyYLu, from the Alexandria database.

Output
formation enthalpy at 0 K	0.11	eV/atom
magnetization	0.00	μB per atom
E	-4.9771	eV/atom

a = 8.033 Å, b = 8.033 Å, c = 8.033 Å
α = 90.00°, β = 90.00°, γ = 90.00°
Space group F-43m (No. 216)
Symmetry-distinct sites (fractional):
Nd (0.000, 0.000, 0.000) x4
Dy (0.000, 0.000, 0.500) x4
Y (0.250, 0.250, 0.250) x4
Lu (0.250, 0.250, 0.750) x4

---

The following is a GGA-PBE calculation of a relaxed structure of B2MoBrCl, from the Alexandria database.

Output
magnetization	0.00	μB per atom
E	-4.3407	eV/atom
ΔE_f (raw)	1.200	eV/atom

a = 4.411 Å, b = 4.411 Å, c = 4.844 Å
α = 90.00°, β = 90.00°, γ = 90.00°
Space group P4/mmm (No. 123)
Symmetry-distinct sites (fractional):
B (0.000, 0.500, 0.000) x2
Mo (0.000, 0.000, 0.000) x1
Br (0.000, 0.000, 0.500) x1
Cl (0.500, 0.500, 0.500) x1

---

The following is a GGA-PBE calculation of a relaxed structure of CrPdI2, from the Alexandria database.

Output
magnetization	0.07	μB per atom
E	-3.6659	eV/atom
ΔE_f (raw)	0.813	eV/atom

a = 6.941 Å, b = 6.941 Å, c = 6.941 Å
α = 90.00°, β = 90.00°, γ = 90.00°
Space group Fm-3m (No. 225)
Symmetry-distinct sites (fractional):
Cr (0.000, 0.000, 0.000) x4
Pd (0.000, 0.000, 0.500) x4
I (0.250, 0.250, 0.250) x8

---

The following is a GGA-PBE calculation of a relaxed structure of Ac2CuPb2, from the Alexandria database.

Output
formation enthalpy at 0 K	-0.39	eV/atom
magnetization	0.00	μB per atom
E	-4.3382	eV/atom

a = 12.297 Å, b = 4.767 Å, c = 12.480 Å
α = 90.00°, β = 118.56°, γ = 90.00°
Space group C2/m (No. 12)
Symmetry-distinct sites (fractional):
Ac (0.091, 0.000, 0.398) x4
Ac (0.198, 0.500, 0.146) x4
Cu (0.074, 0.500, 0.812) x4
Pb (0.054, 0.000, 0.911) x4
Pb (0.140, 0.500, 0.625) x4

---

The following is a GGA-PBE calculation of a relaxed structure of Tb2CeY8, from the Alexandria database.

Output
formation enthalpy at 0 K	0.17	eV/atom
magnetization	0.10	μB per atom
E	-5.9085	eV/atom

a = 19.172 Å, b = 6.971 Å, c = 5.600 Å
α = 90.00°, β = 92.91°, γ = 90.00°
Space group C2/m (No. 12)
Symmetry-distinct sites (fractional):
Tb (0.216, 0.000, 0.249) x4
Ce (0.000, 0.500, 0.000) x2
Y (0.047, 0.000, 0.236) x4
Y (0.132, 0.235, 0.733) x8
Y (0.187, 0.500, 0.234) x4